## Sb2As2Pd (PBE-GGA)

Data for an optimized crystal structure of Sb2As2Pd.

Summary:
Space group   P-1 (2)
Fermi-level density of states   2.01 states/eV per cell
V   115.1 Å³/cell
Total magnetic moment   0.0 μB per formula unit
E_form (uncorrected)   -0.23 eV per formula unit

Unit cell a=6.0528 b=6.2741 c=6.1732 alpha=113.86 beta=50.92 gamma=140.16
Positions (direct):
Sb 0.7633 0.1560 0.6039
Sb 0.2367 0.8440 0.3961
As 0.4626 0.6204 0.8628
As 0.5374 0.3796 0.1372
Pd 0.0000 0.0000 0.0000